1.
# Rb2Tl7Sn | Alexandria | PBE | relaxed
data_Rb2Tl7Sn
_space_group_name_H-M_alt 'P -4 m 2'
_space_group_IT_number 115
_space_group_name_Hall 'P -4 -2'
_cell_length_a 5.2597
_cell_length_b 5.2597
_cell_length_c 13.2079
_cell_angle_alpha 90.00
_cell_angle_beta 90.00
_cell_angle_gamma 90.00
loop_
_atom_site_label
_atom_site_fract_x
_atom_site_fract_y
_atom_site_fract_z
Rb1 0.0000 0.5000 0.2439
Tl1 0.0000 0.0000 0.0000
Tl2 0.0000 0.0000 0.5000
Tl3 0.0000 0.5000 0.6354
Tl4 0.0000 0.5000 0.8669
Tl5 0.5000 0.5000 0.5000
Sn1 0.5000 0.5000 0.0000
# N(E_F)	4.71	states/eV/f.u.
# E	-2.309	eV/atom

2.
# CaVBr3 | Alexandria | PBE | relaxed
data_CaVBr3
_space_group_name_H-M_alt 'P m -3 m'
_space_group_IT_number 221
_space_group_name_Hall '-P 4 2 3'
_cell_length_a 5.6007
_cell_length_b 5.6007
_cell_length_c 5.6007
_cell_angle_alpha 90.00
_cell_angle_beta 90.00
_cell_angle_gamma 90.00
loop_
_atom_site_label
_atom_site_fract_x
_atom_site_fract_y
_atom_site_fract_z
Ca1 0.0000 0.0000 0.0000
V1 0.5000 0.5000 0.5000
Br1 0.0000 0.0000 0.5000
# formation energy without anion corrections	-0.59	eV per atom
# N(E_F)	10.96	states/eV/f.u.
# excess energy over the best structure of this formula in the dataset	195	meV per atom

Number 1: ρ 7.8 g/cm³. Number 2: ρ 3.1 g/cm³.